[1]
# PmSm2In2Ag2

A geometry-optimized PmSm2In2Ag2 structure (PBE, Alexandria).

```
data_PmSm2In2Ag2
_space_group_name_H-M_alt 'R -3 m'
_space_group_IT_number 166
_space_group_name_Hall '-R 3 2"'
_cell_length_a 4.9018
_cell_length_b 4.9018
_cell_length_c 27.1491
_cell_angle_alpha 90.00
_cell_angle_beta 90.00
_cell_angle_gamma 120.00
loop_
_atom_site_label
_atom_site_type_symbol
_atom_site_fract_x
_atom_site_fract_y
_atom_site_fract_z
Pm1 Pm 0.0000 0.0000 0.0000
Sm1 Sm 0.0000 0.0000 0.1261
In1 In 0.0000 0.0000 0.2612
Ag1 Ag 0.0000 0.0000 0.3984
```

Values from the calculation:
Its crystal system is trigonal.


[2]
# LaAl2Cr

A geometry-optimized LaAl2Cr structure (PBE, Alexandria).

```
data_LaAl2Cr
_space_group_name_H-M_alt 'I -4 2 d'
_space_group_IT_number 122
_space_group_name_Hall 'I -4 2bw'
_cell_length_a 4.8756
_cell_length_b 4.8756
_cell_length_c 17.7968
_cell_angle_alpha 90.00
_cell_angle_beta 90.00
_cell_angle_gamma 90.00
loop_
_atom_site_label
_atom_site_type_symbol
_atom_site_fract_x
_atom_site_fract_y
_atom_site_fract_z
La1 La 0.0000 0.0000 0.0000
Al1 Al 0.0632 0.2500 0.6250
Cr1 Cr 0.0000 0.0000 0.5000
```

Values from the calculation:
Its crystal system is tetragonal.


[3]
# CaPr8Ho6

A geometry-optimized CaPr8Ho6 structure (PBE, Alexandria).

```
data_CaPr8Ho6
_space_group_name_H-M_alt 'R -3'
_space_group_IT_number 148
_space_group_name_Hall '-R 3'
_cell_length_a 9.8379
_cell_length_b 9.8379
_cell_length_c 18.2771
_cell_angle_alpha 90.00
_cell_angle_beta 90.00
_cell_angle_gamma 120.00
loop_
_atom_site_label
_atom_site_type_symbol
_atom_site_fract_x
_atom_site_fract_y
_atom_site_fract_z
Ca1 Ca 0.0000 0.0000 0.0000
Pr1 Pr 0.0000 0.0000 0.2398
Pr2 Pr 0.0454 0.7623 0.9020
Ho1 Ho 0.0262 0.7930 0.4095
```

Values from the calculation:
Its crystal system is trigonal.


[4]
# SrB2I8

A geometry-optimized SrB2I8 structure (PBE, Alexandria).

```
data_SrB2I8
_space_group_name_H-M_alt 'C 1 2/c 1'
_space_group_IT_number 15
_cell_length_a 20.4617
_cell_length_b 11.0235
_cell_length_c 10.8149
_cell_angle_alpha 90.00
_cell_angle_beta 120.19
_cell_angle_gamma 90.00
loop_
_space_group_symop_operation_xyz
'x,y,z'
'-x,-y,-z'
'-x,y,-z+1/2'
'x,-y,z+1/2'
'x+1/2,y+1/2,z'
'-x+1/2,-y+1/2,-z'
'-x+1/2,y+1/2,-z+1/2'
'x+1/2,-y+1/2,z+1/2'
loop_
_atom_site_label
_atom_site_type_symbol
_atom_site_fract_x
_atom_site_fract_y
_atom_site_fract_z
Sr1 Sr 0.0000 0.0339 0.2500
B1 B 0.0978 0.2416 0.0616
I1 I 0.0294 0.1893 0.5597
I2 I 0.1139 0.4232 0.9987
I3 I 0.1364 0.2322 0.2991
I4 I 0.1605 0.0982 0.0108
```

Values from the calculation:
Its crystal system is monoclinic. The value obtained for the uncorrected formation energy is -5.22 eV per formula unit.


[5]
# AcTm6Pb6

A geometry-optimized AcTm6Pb6 structure (PBE, Alexandria).

```
data_AcTm6Pb6
_space_group_name_H-M_alt 'P 6/m m m'
_space_group_IT_number 191
_space_group_name_Hall '-P 6 2'
_cell_length_a 6.9786
_cell_length_b 6.9786
_cell_length_c 9.5613
_cell_angle_alpha 90.00
_cell_angle_beta 90.00
_cell_angle_gamma 120.00
loop_
_atom_site_label
_atom_site_type_symbol
_atom_site_fract_x
_atom_site_fract_y
_atom_site_fract_z
Ac1 Ac 0.0000 0.0000 0.0000
Tm1 Tm 0.0000 0.5000 0.2517
Pb1 Pb 0.0000 0.0000 0.3420
Pb2 Pb 0.3333 0.6667 0.0000
Pb3 Pb 0.3333 0.6667 0.5000
```

Values from the calculation:
Its crystal system is hexagonal.


[6]
# Ca2AlNi6Ge

A geometry-optimized Ca2AlNi6Ge structure (PBE, Alexandria).

```
data_Ca2AlNi6Ge
_space_group_name_H-M_alt 'C 1 2/m 1'
_space_group_IT_number 12
_cell_length_a 11.5880
_cell_length_b 4.9584
_cell_length_c 8.0166
_cell_angle_alpha 90.00
_cell_angle_beta 133.26
_cell_angle_gamma 90.00
loop_
_space_group_symop_operation_xyz
'x,y,z'
'-x,-y,-z'
'-x,y,-z'
'x,-y,z'
'x+1/2,y+1/2,z'
'-x+1/2,-y+1/2,-z'
'-x+1/2,y+1/2,-z'
'x+1/2,-y+1/2,z'
loop_
_atom_site_label
_atom_site_type_symbol
_atom_site_fract_x
_atom_site_fract_y
_atom_site_fract_z
Ca1 Ca 0.2495 0.0000 0.1987
Al1 Al 0.0000 0.5000 0.0000
Ni1 Ni 0.0228 0.2533 0.2774
Ni2 Ni 0.2487 0.5000 0.4168
Ge1 Ge 0.0000 0.0000 0.5000
```

Values from the calculation:
Its crystal system is monoclinic.


[7]
# Cs3Dy2PuSe6

A geometry-optimized Cs3Dy2PuSe6 structure (PBE, Alexandria).

```
data_Cs3Dy2PuSe6
_space_group_name_H-M_alt 'C 1 2/m 1'
_space_group_IT_number 12
_cell_length_a 7.4582
_cell_length_b 12.9172
_cell_length_c 8.7151
_cell_angle_alpha 90.00
_cell_angle_beta 106.58
_cell_angle_gamma 90.00
loop_
_space_group_symop_operation_xyz
'x,y,z'
'-x,-y,-z'
'-x,y,-z'
'x,-y,z'
'x+1/2,y+1/2,z'
'-x+1/2,-y+1/2,-z'
'-x+1/2,y+1/2,-z'
'x+1/2,-y+1/2,z'
loop_
_atom_site_label
_atom_site_type_symbol
_atom_site_fract_x
_atom_site_fract_y
_atom_site_fract_z
Cs1 Cs 0.0000 0.0000 0.0000
Cs2 Cs 0.0000 0.3332 0.0000
Dy1 Dy 0.0000 0.1666 0.5000
Pu1 Pu 0.0000 0.5000 0.5000
Se1 Se 0.2242 0.0000 0.6850
Se2 Se 0.2304 0.3312 0.6849
```

Values from the calculation:
Its crystal system is monoclinic. The value obtained for the uncorrected formation energy is -19.39 eV per formula unit.


[8]
# V8BC2

A geometry-optimized V8BC2 structure (PBE, Alexandria).

```
data_V8BC2
_space_group_name_H-M_alt 'C 1 2/m 1'
_space_group_IT_number 12
_cell_length_a 6.3384
_cell_length_b 9.3597
_cell_length_c 4.2472
_cell_angle_alpha 90.00
_cell_angle_beta 102.88
_cell_angle_gamma 90.00
loop_
_space_group_symop_operation_xyz
'x,y,z'
'-x,-y,-z'
'-x,y,-z'
'x,-y,z'
'x+1/2,y+1/2,z'
'-x+1/2,-y+1/2,-z'
'-x+1/2,y+1/2,-z'
'x+1/2,-y+1/2,z'
loop_
_atom_site_label
_atom_site_type_symbol
_atom_site_fract_x
_atom_site_fract_y
_atom_site_fract_z
V1 V 0.0000 0.2431 0.0000
V2 V 0.1227 0.5000 0.7977
V3 V 0.2025 0.1273 0.6131
B1 B 0.0000 0.0000 0.0000
C1 C 0.0000 0.3144 0.5000
```

Values from the calculation:
Its crystal system is monoclinic.


[9]
# CaLa7Y4

A geometry-optimized CaLa7Y4 structure (PBE, Alexandria).

```
data_CaLa7Y4
_space_group_name_H-M_alt 'P -1'
_space_group_IT_number 2
_cell_length_a 6.4845
_cell_length_b 7.4523
_cell_length_c 9.1893
_cell_angle_alpha 89.67
_cell_angle_beta 76.77
_cell_angle_gamma 89.90
loop_
_space_group_symop_operation_xyz
'x,y,z'
'-x,-y,-z'
loop_
_atom_site_label
_atom_site_type_symbol
_atom_site_fract_x
_atom_site_fract_y
_atom_site_fract_z
Ca1 Ca 0.0000 0.0000 0.0000
La1 La 0.0000 0.5000 0.0000
La2 La 0.2241 0.9999 0.3419
La3 La 0.2842 0.2529 0.6616
La4 La 0.4984 0.2615 0.0033
Y1 Y 0.2188 0.5006 0.3338
Y2 Y 0.2812 0.7411 0.6644
```

Values from the calculation:
Its crystal system is triclinic.


[10]
# YLuPd

A geometry-optimized YLuPd structure (PBE, Alexandria).

```
data_YLuPd
_space_group_name_H-M_alt 'F -4 3 m'
_space_group_IT_number 216
_space_group_name_Hall 'F -4 2 3'
_cell_length_a 6.8526
_cell_length_b 6.8526
_cell_length_c 6.8526
_cell_angle_alpha 90.00
_cell_angle_beta 90.00
_cell_angle_gamma 90.00
loop_
_atom_site_label
_atom_site_type_symbol
_atom_site_fract_x
_atom_site_fract_y
_atom_site_fract_z
Y1 Y 0.0000 0.0000 0.0000
Lu1 Lu 0.0000 0.0000 0.5000
Pd1 Pd 0.2500 0.2500 0.7500
```

Values from the calculation:
Its crystal system is cubic. For the energy above the most stable polymorph in this dataset, the calculation gives 24 kJ/mol of formula units.


[11]
# RbNi2H2

A geometry-optimized RbNi2H2 structure (PBE, Alexandria).

```
data_RbNi2H2
_space_group_name_H-M_alt 'P 4/m b m'
_space_group_IT_number 127
_space_group_name_Hall '-P 4 2ab'
_cell_length_a 7.6142
_cell_length_b 7.6142
_cell_length_c 2.6918
_cell_angle_alpha 90.00
_cell_angle_beta 90.00
_cell_angle_gamma 90.00
loop_
_atom_site_label
_atom_site_type_symbol
_atom_site_fract_x
_atom_site_fract_y
_atom_site_fract_z
Rb1 Rb 0.0000 0.0000 0.0000
Ni1 Ni 0.1007 0.3993 0.5000
H1 H 0.0807 0.5807 0.0000
```

Values from the calculation:
Its crystal system is tetragonal. For the energy above the most stable polymorph in this dataset, the calculation gives 312 kJ/mol of formula units.


[12]
# GdPuCo

A geometry-optimized GdPuCo structure (PBE, Alexandria).

```
data_GdPuCo
_space_group_name_H-M_alt 'I 4 m m'
_space_group_IT_number 107
_space_group_name_Hall 'I 4 -2'
_cell_length_a 3.3881
_cell_length_b 3.3881
_cell_length_c 11.8281
_cell_angle_alpha 90.00
_cell_angle_beta 90.00
_cell_angle_gamma 90.00
loop_
_atom_site_label
_atom_site_type_symbol
_atom_site_fract_x
_atom_site_fract_y
_atom_site_fract_z
Gd1 Gd 0.0000 0.0000 0.0000
Pu1 Pu 0.0000 0.0000 0.2703
Co1 Co 0.0000 0.0000 0.6460
```

Values from the calculation:
Its crystal system is tetragonal. For the energy above the most stable polymorph in this dataset, the calculation gives 0 kJ/mol of formula units.


Total DFT energy (no corrections) readings, ordered: -3.9257 -5.1844 -4.3426 -2.9690 -4.4326 -4.9675 -5.5326 -9.0532 -5.1682 -5.8928 -3.1402 -11.7930 eV per atom
N(E_F) readings, ordered: 15.66 16.46 63.05 0.00 9.27 14.68 25.96 19.97 17.96 14.42 11.99 18.70 states/eV per cell